The following is a DFT calculation (PBE with a Hubbard U) of a relaxed KInNiO3 crystal.

As for the total magnetization: 0.338 μB per atom. The calculation puts the total energy at -58.1 eV per cell.

Lattice parameters (Å, degrees): 6.191 6.191 5.679 90.00 90.00 125.38
Positions (direct):
K 0.247 0.753 0.750
K 0.753 0.247 0.250
In 0.426 0.574 0.250
In 0.574 0.426 0.750
Ni 0.061 0.939 0.250
Ni 0.939 0.061 0.750
O 0.241 0.759 0.250
O 0.245 0.245 0.000
O 0.245 0.245 0.500
O 0.755 0.755 0.000
O 0.755 0.755 0.500
O 0.759 0.241 0.750